No. 1
A relaxed CaTl2CuIr crystal, computed with GGA-PBE.

size of the total moment: 0.000 μB/atom
raw total energy: -3.7342 eV/atom
ΔE_f: 1.02 eV per formula unit

Unit cell a=5.2122 b=5.2122 c=4.9571 alpha=90.00 beta=90.00 gamma=90.00
With the nearest neighbours (Å) after each atom.
Space group P4/mmm (No. 123)
Symmetry-distinct sites (fractional):
Ca1 0.0000 0.0000 0.0000 x1  8 Tl 3.60, 4 Cu 3.69
Tl1 0.0000 0.5000 0.5000 x2  2 Ir 2.61
Cu1 0.5000 0.5000 0.0000 x1  2 Ir 2.48
Ir1 0.5000 0.5000 0.5000 x1  2 Cu 2.48, 4 Tl 2.61

---

No. 2
A relaxed NpReB crystal, computed with GGA-PBE.

excess energy over the best structure of this formula in the dataset: 0.000 eV/atom
size of the total moment: 1.001 μB/atom
raw total energy: -10.5854 eV/atom
ΔE_f: 0.31 eV per formula unit

Unit cell a=3.0137 b=3.0137 c=9.6984 alpha=90.00 beta=90.00 gamma=90.00
With the nearest neighbours (Å) after each atom.
Space group I4mm (No. 107)
Symmetry-distinct sites (fractional):
Np1 0.0000 0.0000 0.0000 x2  1 Re 2.68, 5 B 2.88-2.92
Re1 0.0000 0.0000 0.2762 x2  4 B 2.26
B1 0.0000 0.0000 0.6994 x2  4 Re 2.26

---

No. 3
A relaxed BiPPbO5 crystal, computed with GGA-PBE.

formation energy from raw total energies: -1.791 eV/atom
size of the total moment: 0.000 μB/atom
raw total energy: -6.5151 eV/atom

Unit cell a=5.9842 b=7.0678 c=7.0887 alpha=106.89 beta=108.24 gamma=102.57
With the nearest neighbours (Å) after each atom.
Space group P-1 (No. 2)
Symmetry-distinct sites (fractional):
Bi1 0.1220 0.2698 0.0587 x2  5 O 2.14-2.39
P1 0.3089 0.3425 0.6342 x2  4 O 1.55-1.57
Pb1 0.3382 0.8874 0.6766 x2  6 O 2.48-2.74
O1 0.1276 0.2254 0.7137 x2  1 P 1.56
O2 0.1459 0.3234 0.4056 x2  1 P 1.56
O3 0.2404 0.0018 0.0356 x2  2 Bi 2.14-2.32
O4 0.4341 0.5814 0.7857 x2  1 P 1.57
O5 0.4854 0.7584 0.3665 x2  1 P 1.55

---

No. 4
A relaxed OsPb2Br crystal, computed with GGA-PBE.

formation energy from raw total energies: 0.900 eV/atom
excess energy over the best structure of this formula in the dataset: 0.500 eV/atom
size of the total moment: 0.322 μB/atom
raw total energy: -4.1800 eV/atom

Unit cell a=7.3387 b=7.3387 c=7.3387 alpha=90.00 beta=90.00 gamma=90.00
With the nearest neighbours (Å) after each atom.
Space group Fm-3m (No. 225)
Symmetry-distinct sites (fractional):
Os1 0.0000 0.0000 0.0000 x4  8 Pb 3.18
Pb1 0.2500 0.2500 0.2500 x8  4 Br 3.18, 4 Os 3.18
Br1 0.0000 0.0000 0.5000 x4  8 Pb 3.18

---

No. 5
A relaxed YScPbO2 crystal, computed with GGA-PBE.

formation energy from raw total energies: 0.251 eV/atom
excess energy over the best structure of this formula in the dataset: 2.718 eV/atom
size of the total moment: 0.000 μB/atom
raw total energy: -5.0335 eV/atom

Unit cell a=4.5042 b=4.5042 c=5.9312 alpha=90.00 beta=90.00 gamma=90.00
With the nearest neighbours (Å) after each atom.
Space group P4/mmm (No. 123)
Symmetry-distinct sites (fractional):
Y1 0.0000 0.0000 0.0000 x1  2 Pb 2.97, 4 Sc 3.18
Sc1 0.5000 0.5000 0.0000 x1  4 Y 3.18
Pb1 0.0000 0.0000 0.5000 x1  4 O 2.25
O1 0.0000 0.5000 0.5000 x2  2 Pb 2.25

---

No. 6
A relaxed VNi2Mo crystal, computed with GGA-PBE.

excess energy over the best structure of this formula in the dataset: 0.466 eV/atom
size of the total moment: 0.000 μB/atom
raw total energy: -7.5236 eV/atom
ΔE_f: 1.42 eV per formula unit

Unit cell a=6.6169 b=6.6169 c=4.9170 alpha=90.00 beta=90.00 gamma=90.00
With the nearest neighbours (Å) after each atom.
Space group I-42d (No. 122)
Symmetry-distinct sites (fractional):
V1 0.0000 0.0000 0.0000 x4  4 Ni 2.35, 2 Mo 2.46
Ni1 0.2348 0.7500 0.1250 x8  2 V 2.35, 2 Ni 2.47, 2 Mo 2.49
Mo1 0.0000 0.0000 0.5000 x4  2 V 2.46, 4 Ni 2.49

---

No. 7
A relaxed AlV3Rh crystal, computed with GGA-PBE.

excess energy over the best structure of this formula in the dataset: 0.000 eV/atom
size of the total moment: 0.228 μB/atom
raw total energy: -6.7621 eV/atom
ΔE_f: 4.64 eV per formula unit

Unit cell a=4.5449 b=4.5449 c=4.5449 alpha=90.00 beta=90.00 gamma=90.00
With the nearest neighbours (Å) after each atom.
Space group Pm-3m (No. 221)
Symmetry-distinct sites (fractional):
Al1 0.0000 0.0000 0.0000 x1  12 V 3.21
V1 0.0000 0.5000 0.5000 x3  2 Rh 2.27
Rh1 0.5000 0.5000 0.5000 x1  6 V 2.27

---

No. 8
A relaxed ZrCd2CuHg crystal, computed with GGA-PBE.

size of the total moment: 0.423 μB/atom
raw total energy: -2.0417 eV/atom
ΔE_f: 4.57 eV per formula unit

Unit cell a=5.8523 b=5.8523 c=4.9940 alpha=90.00 beta=90.00 gamma=90.00
With the nearest neighbours (Å) after each atom.
Space group P4/mmm (No. 123)
Symmetry-distinct sites (fractional):
Zr1 0.0000 0.0000 0.0000 x1  2 Cu 2.50
Cd1 0.0000 0.5000 0.0000 x2  2 Zr 2.93
Cu1 0.0000 0.0000 0.5000 x1  2 Zr 2.50
Hg1 0.5000 0.5000 0.5000 x1  8 Cd 3.85, 4 Cu 4.14

---

No. 9
A relaxed YScAs2 crystal, computed with GGA-PBE.

excess energy over the best structure of this formula in the dataset: 0.385 eV/atom
size of the total moment: 0.000 μB/atom
raw total energy: -6.5907 eV/atom
ΔE_f: -4.27 eV per formula unit

Unit cell a=3.5201 b=3.6870 c=6.9291 alpha=90.00 beta=102.50 gamma=90.00
With the nearest neighbours (Å) after each atom.
Space group P2/m (No. 10)
Symmetry-distinct sites (fractional):
Y1 0.0000 0.0000 0.0000 x1  4 As 2.88
Sc1 0.5000 0.0000 0.5000 x1  4 As 2.72
As1 0.2614 0.5000 0.7378 x2  2 Sc 2.72, 2 Y 2.88

---

No. 10
A relaxed Rb2AsHF6 crystal, computed with GGA-PBE.

excess energy over the best structure of this formula in the dataset: 0.000 eV/atom
size of the total moment: 0.000 μB/atom
raw total energy: -4.4676 eV/atom

Unit cell a=8.6080 b=9.5813 c=5.8215 alpha=90.00 beta=132.49 gamma=90.00
With the nearest neighbours (Å) after each atom.
Space group Cm (No. 8)
Symmetry-distinct sites (fractional):
Rb1 0.0000 0.2228 0.0000 x4  10 F 2.99-3.33, 1 H 3.33
As1 0.4887 0.0000 0.4887 x2  4 F 1.83-1.99
H1 0.1831 0.0000 0.6823 x2  2 F 1.15
F1 0.0160 0.2932 0.5162 x4  1 As 1.99
F2 0.1884 0.5000 0.9158 x2  1 As 1.83
F3 0.1912 0.0000 0.4928 x2  1 H 1.15
F4 0.1908 0.5000 0.4652 x2  1 As 1.83
F5 0.1928 0.0000 0.8892 x2  1 H 1.15

---

Q: The highest raw total energy belongs to which entry?
A: ZrCd2CuHg

---

Q: Look up the size of the total moment of the sixth one.
A: 0.000 μB/atom

---

Q: What is the formula in the sixth record?
A: VNi2Mo

---

Q: Which of these has the lowest raw total energy?
A: NpReB